#w
First-principles (PBE) data for a relaxed Pr3DyCd crystal, as listed in Alexandria.

Lattice parameters (Å, degrees): 10.108 10.108 8.874 103.32 103.32 21.54
Positions (direct):
Pr  0.005  0.005  0.287
Pr  0.187  0.187  0.376
Pr  0.402  0.402  0.966
Pr  0.598  0.598  0.034
Pr  0.813  0.813  0.624
Pr  0.995  0.995  0.713
Dy  0.206  0.206  0.834
Dy  0.794  0.794  0.166
Cd  0.394  0.394  0.415
Cd  0.606  0.606  0.585

Output
Symmetry: No. 12

***

#x
First-principles (PBE) data for a relaxed Pr3DyCd crystal, as listed in Alexandria.

Lattice parameters (Å, degrees): 10.159 10.159 6.486 100.25 100.25 83.09
Positions (direct):
Pr  0.038  0.163  0.488
Pr  0.127  0.504  0.378
Pr  0.163  0.038  0.988
Pr  0.231  0.369  0.871
Pr  0.369  0.231  0.371
Pr  0.496  0.873  0.122
Pr  0.504  0.127  0.878
Pr  0.631  0.769  0.629
Pr  0.769  0.631  0.129
Pr  0.837  0.962  0.012
Pr  0.873  0.496  0.622
Pr  0.962  0.837  0.512
Dy  0.108  0.706  0.001
Dy  0.294  0.892  0.499
Dy  0.706  0.108  0.501
Dy  0.892  0.294  0.999
Cd  0.370  0.630  0.750
Cd  0.408  0.592  0.250
Cd  0.592  0.408  0.750
Cd  0.630  0.370  0.250

Output
Symmetry: No. 15

***

Preferred: #w; penalty for the next structure: 0.070 eV/atom.

***

#w
First-principles (PBE) data for a relaxed PrDyCdRu crystal, as listed in Alexandria.

Lattice parameters (Å, degrees): 3.530 3.530 7.831 90.00 90.00 90.00
Positions (direct):
Pr  0.000  0.000  0.000
Dy  0.000  0.000  0.568
Cd  0.500  0.500  0.300
Ru  0.500  0.500  0.770

Output
Symmetry: No. 99

***

#x
First-principles (PBE) data for a relaxed PrDyCdRu crystal, as listed in Alexandria.

Lattice parameters (Å, degrees): 5.136 5.136 5.136 60.00 60.00 60.00
Positions (direct):
Pr  0.000  0.000  0.000
Dy  0.500  0.500  0.500
Cd  0.250  0.250  0.250
Ru  0.750  0.750  0.750

Output
Symmetry: No. 216

***

Preferred: #w; penalty for the next structure: 0.101 eV/atom.

***

#w
First-principles (PBE) data for a relaxed PrSmDyCd crystal, as listed in Alexandria.

Lattice parameters (Å, degrees): 5.554 5.554 5.554 60.00 60.00 60.00
Positions (direct):
Pr  0.000  0.000  0.000
Sm  0.500  0.500  0.500
Dy  0.750  0.750  0.750
Cd  0.250  0.250  0.250

Output
Symmetry: No. 216

***

#x
First-principles (PBE) data for a relaxed PrSmDyCd crystal, as listed in Alexandria.

Lattice parameters (Å, degrees): 3.679 3.679 9.066 90.00 90.00 90.00
Positions (direct):
Pr  0.000  0.000  0.000
Sm  0.500  0.500  0.717
Dy  0.500  0.500  0.276
Cd  0.000  0.000  0.489

Output
Symmetry: No. 99

***

Preferred: #x; penalty for the next structure: 0.113 eV/atom.

***

#w
First-principles (PBE) data for a relaxed TbPrDyCd crystal, as listed in Alexandria.

Lattice parameters (Å, degrees): 3.658 3.658 9.019 90.00 90.00 90.00
Positions (direct):
Tb  0.000  0.000  0.000
Pr  0.500  0.500  0.281
Dy  0.000  0.000  0.560
Cd  0.500  0.500  0.779

Output
Symmetry: No. 99

***

#x
First-principles (PBE) data for a relaxed TbPrDyCd crystal, as listed in Alexandria.

Lattice parameters (Å, degrees): 5.523 5.523 5.523 60.00 60.00 60.00
Positions (direct):
Tb  0.000  0.000  0.000
Pr  0.750  0.750  0.750
Dy  0.250  0.250  0.250
Cd  0.500  0.500  0.500

Output
Symmetry: No. 216

***

Preferred: #w; penalty for the next structure: 0.131 eV/atom.

***

#w
First-principles (PBE) data for a relaxed PrDyThCd crystal, as listed in Alexandria.

Lattice parameters (Å, degrees): 3.645 3.645 9.035 90.00 90.00 90.00
Positions (direct):
Pr  0.000  0.000  0.000
Dy  0.000  0.000  0.466
Th  0.500  0.500  0.727
Cd  0.500  0.500  0.247

Output
Symmetry: No. 99

***

#x
First-principles (PBE) data for a relaxed PrDyThCd crystal, as listed in Alexandria.

Lattice parameters (Å, degrees): 5.540 5.540 5.540 60.00 60.00 60.00
Positions (direct):
Pr  0.000  0.000  0.000
Dy  0.500  0.500  0.500
Th  0.250  0.250  0.250
Cd  0.750  0.750  0.750

Output
Symmetry: No. 216

***

Preferred: #w; penalty for the next structure: 0.249 eV/atom.

***

#w
First-principles (PBE) data for a relaxed PrDyYCd crystal, as listed in Alexandria.

Lattice parameters (Å, degrees): 3.658 3.658 9.028 90.00 90.00 90.00
Positions (direct):
Pr  0.000  0.000  0.000
Dy  0.500  0.500  0.279
Y  0.500  0.500  0.717
Cd  0.000  0.000  0.497

Output
Symmetry: No. 99

***

#x
First-principles (PBE) data for a relaxed PrDyYCd crystal, as listed in Alexandria.

Lattice parameters (Å, degrees): 5.528 5.528 5.528 60.00 60.00 60.00
Positions (direct):
Pr  0.000  0.000  0.000
Dy  0.250  0.250  0.250
Y  0.500  0.500  0.500
Cd  0.750  0.750  0.750

Output
Symmetry: No. 216

***

Preferred: #w; penalty for the next structure: 0.128 eV/atom.

***

#w
First-principles (PBE) data for a relaxed PrDyZnCd crystal, as listed in Alexandria.

Lattice parameters (Å, degrees): 5.285 5.285 5.285 60.00 60.00 60.00
Positions (direct):
Pr  0.000  0.000  0.000
Dy  0.500  0.500  0.500
Zn  0.750  0.750  0.750
Cd  0.250  0.250  0.250

Output
Symmetry: No. 216

***

#x
First-principles (PBE) data for a relaxed PrDyZnCd crystal, as listed in Alexandria.

Lattice parameters (Å, degrees): 3.665 3.665 7.689 90.00 90.00 90.00
Positions (direct):
Pr  0.000  0.000  0.000
Dy  0.000  0.000  0.461
Zn  0.500  0.500  0.251
Cd  0.500  0.500  0.713

Output
Symmetry: No. 99

***

Preferred: #x; penalty for the next structure: 0.031 eV/atom.

***

#w
First-principles (PBE) data for a relaxed DyCd3Rh crystal, as listed in Alexandria.

Lattice parameters (Å, degrees): 9.397 4.031 11.911 90.00 90.00 90.00
Positions (direct):
Dy  0.194  0.250  0.013
Dy  0.306  0.750  0.513
Dy  0.694  0.250  0.487
Dy  0.806  0.750  0.987
Cd  0.042  0.250  0.413
Cd  0.058  0.750  0.212
Cd  0.182  0.750  0.792
Cd  0.318  0.250  0.292
Cd  0.442  0.250  0.712
Cd  0.458  0.750  0.913
Cd  0.542  0.250  0.087
Cd  0.558  0.750  0.288
Cd  0.682  0.750  0.708
Cd  0.818  0.250  0.208
Cd  0.942  0.250  0.788
Cd  0.958  0.750  0.587
Rh  0.170  0.250  0.628
Rh  0.330  0.750  0.128
Rh  0.670  0.250  0.872
Rh  0.830  0.750  0.372

Output
Symmetry: No. 62

***

#x
First-principles (PBE) data for a relaxed DyCd3Rh crystal, as listed in Alexandria.

Lattice parameters (Å, degrees): 10.165 10.165 10.165 149.11 149.11 44.25
Positions (direct):
Dy  0.216  0.216  0.000
Dy  0.784  0.784  0.000
Cd  0.373  0.622  0.751
Cd  0.378  0.128  0.751
Cd  0.378  0.627  0.249
Cd  0.531  0.031  0.500
Cd  0.872  0.622  0.249
Cd  0.969  0.469  0.500
Rh  0.250  0.750  0.500
Rh  0.500  0.500  0.000

Output
Symmetry: No. 119

***

Preferred: #w; penalty for the next structure: 0.217 eV/atom.

***

#w
First-principles (PBE) data for a relaxed Dy2CdRh crystal, as listed in Alexandria.

Lattice parameters (Å, degrees): 8.132 8.132 8.132 28.32 28.32 28.32
Positions (direct):
Dy  0.000  0.000  0.000
Dy  0.203  0.203  0.203
Cd  0.436  0.436  0.436
Rh  0.600  0.600  0.600

Output
Symmetry: No. 160

***

#x
First-principles (PBE) data for a relaxed Dy2CdRh crystal, as listed in Alexandria.

Lattice parameters (Å, degrees): 8.334 8.334 8.334 27.06 27.06 27.06
Positions (direct):
Dy  0.233  0.233  0.233
Dy  0.767  0.767  0.767
Cd  0.000  0.000  0.000
Rh  0.500  0.500  0.500

Output
Symmetry: No. 166

***

#y
First-principles (PBE) data for a relaxed Dy2CdRh crystal, as listed in Alexandria.

Lattice parameters (Å, degrees): 5.052 5.052 5.052 60.00 60.00 60.00
Positions (direct):
Dy  0.250  0.250  0.250
Dy  0.750  0.750  0.750
Cd  0.000  0.000  0.000
Rh  0.500  0.500  0.500

Output
Symmetry: No. 225

***

Preferred: #y; penalty for the next structure: 0.036 eV/atom.

***

#w
First-principles (PBE) data for a relaxed Dy3CdRh crystal, as listed in Alexandria.

Lattice parameters (Å, degrees): 8.085 8.085 10.272 123.18 123.18 29.12
Positions (direct):
Dy  0.090  0.090  0.449
Dy  0.331  0.331  0.200
Dy  0.362  0.362  0.785
Dy  0.638  0.638  0.215
Dy  0.669  0.669  0.800
Dy  0.910  0.910  0.551
Cd  0.072  0.072  0.928
Cd  0.928  0.928  0.072
Rh  0.268  0.268  0.412
Rh  0.732  0.732  0.588

Output
Symmetry: No. 12

***

#x
First-principles (PBE) data for a relaxed Dy3CdRh crystal, as listed in Alexandria.

Lattice parameters (Å, degrees): 5.557 6.174 8.812 102.60 99.84 114.41
Positions (direct):
Dy  0.056  0.196  0.276
Dy  0.281  0.423  0.725
Dy  0.303  0.803  0.106
Dy  0.697  0.197  0.894
Dy  0.719  0.577  0.275
Dy  0.944  0.804  0.724
Cd  0.344  0.761  0.499
Cd  0.656  0.239  0.501
Rh  0.249  0.248  0.997
Rh  0.751  0.752  0.003

Output
Symmetry: No. 2

***

Preferred: #x; penalty for the next structure: 0.050 eV/atom.

***

#w
First-principles (PBE) data for a relaxed Dy2CdRh3 crystal, as listed in Alexandria.

Lattice parameters (Å, degrees): 4.735 4.735 11.624 90.00 90.00 120.00
Positions (direct):
Dy  0.000  0.000  0.000
Dy  0.000  0.000  0.500
Dy  0.333  0.667  0.181
Dy  0.667  0.333  0.819
Cd  0.333  0.667  0.666
Cd  0.667  0.333  0.334
Rh  0.000  0.000  0.249
Rh  0.000  0.000  0.751
Rh  0.333  0.667  0.421
Rh  0.333  0.667  0.917
Rh  0.667  0.333  0.083
Rh  0.667  0.333  0.579

Output
Symmetry: No. 164

***

#x
First-principles (PBE) data for a relaxed Dy2CdRh3 crystal, as listed in Alexandria.

Lattice parameters (Å, degrees): 5.982 5.982 5.982 134.02 125.86 73.70
Positions (direct):
Dy  0.179  0.179  0.000
Dy  0.821  0.821  0.000
Cd  0.500  0.500  0.000
Rh  0.000  0.500  0.500
Rh  0.351  0.851  0.500
Rh  0.649  0.149  0.500

Output
Symmetry: No. 71

***

Preferred: #w; penalty for the next structure: 0.339 eV/atom.

***

#w
First-principles (PBE) data for a relaxed DyScCdRh crystal, as listed in Alexandria.

Lattice parameters (Å, degrees): 3.405 3.405 7.354 90.00 90.00 90.00
Positions (direct):
Dy  0.000  0.000  0.000
Sc  0.000  0.000  0.566
Cd  0.500  0.500  0.305
Rh  0.500  0.500  0.762

Output
Symmetry: No. 99

***

#x
First-principles (PBE) data for a relaxed DyScCdRh crystal, as listed in Alexandria.

Lattice parameters (Å, degrees): 4.920 4.920 4.920 60.00 60.00 60.00
Positions (direct):
Dy  0.000  0.000  0.000
Sc  0.500  0.500  0.500
Cd  0.250  0.250  0.250
Rh  0.750  0.750  0.750

Output
Symmetry: No. 216

***

Preferred: #w; penalty for the next structure: 0.103 eV/atom.